No. 1
This record from the Alexandria database describes a geometry-optimized In3AsSe3 structure. The functional is PBE.

## Properties
The value obtained for the magnetic moment is 0.000 μB per atom. The space-group type is Pmn2_1, No. 31. The density of states at the Fermi level is 0.62 states/eV/f.u. The calculation puts the formation energy (no corrections) at -435 meV per atom.

Cell lengths 4.2328, 16.8968, 6.0711 Å; angles 90.00, 90.00, 90.00 degrees
Closest atoms and distances in Å follow each position.
Sites, in units of the cell vectors:
In1 0.0000 0.0653 0.0000  4 Se 2.55-2.70
In2 0.0000 0.3019 0.9979  3 Se 2.56-2.69, 1 As 2.68
In3 0.0000 0.5648 0.9902  3 As 2.64-2.66, 1 Se 2.66
In4 0.5000 0.4352 0.4902  3 As 2.64-2.66, 1 Se 2.66
In5 0.5000 0.6981 0.4979  3 Se 2.56-2.69, 1 As 2.68
In6 0.5000 0.9347 0.5000  4 Se 2.55-2.70
As1 0.0000 0.4331 0.7511  4 In 2.64-2.68
As2 0.5000 0.5669 0.2511  4 In 2.64-2.68
Se1 0.0000 0.1831 0.7365  2 In 2.55-2.56
Se2 0.0000 0.7011 0.7723  3 In 2.66-2.69
Se3 0.0000 0.9298 0.7751  3 In 2.67-2.70
Se4 0.5000 0.0702 0.2751  3 In 2.67-2.70
Se5 0.5000 0.2989 0.2723  3 In 2.66-2.69
Se6 0.5000 0.8169 0.2365  2 In 2.55-2.56

No. 2
This record from the Alexandria database describes a geometry-optimized InAs2Se structure. The functional is PBE.

## Properties
The value obtained for the magnetic moment is 0.000 μB per atom. The space-group type is P4/mmm, No. 123. The density of states at the Fermi level is 1.68 states/eV/f.u. The calculation puts the formation energy (no corrections) at 305 meV per atom.

Cell lengths 4.9820, 4.9820, 3.4494 Å; angles 90.00, 90.00, 90.00 degrees
Closest atoms and distances in Å follow each position.
Sites, in units of the cell vectors:
In1 0.0000 0.0000 0.0000  8 As 3.03
As1 0.0000 0.5000 0.5000  4 Se 3.03, 4 In 3.03
As2 0.5000 0.0000 0.5000  4 Se 3.03, 4 In 3.03
Se1 0.5000 0.5000 0.0000  8 As 3.03

No. 3
This record from the Alexandria database describes a geometry-optimized InAs2Se structure. The functional is PBE.

## Properties
The value obtained for the magnetic moment is 0.000 μB per atom. The space-group type is Cmmm, No. 65. The density of states at the Fermi level is 2.23 states/eV/f.u. The calculation puts the formation energy (no corrections) at 342 meV per atom.

Cell lengths 3.9156, 5.8222, 7.9312 Å; angles 90.00, 90.00, 90.00 degrees
Closest atoms and distances in Å follow each position.
Sites, in units of the cell vectors:
In1 0.0000 0.0000 0.0000  4 As 2.86
In2 0.5000 0.5000 0.0000  4 As 2.86
As1 0.0000 0.5000 0.2623  2 Se 2.72, 2 In 2.86
As2 0.0000 0.5000 0.7377  2 Se 2.72, 2 In 2.86
As3 0.5000 0.0000 0.2623  2 Se 2.72, 2 In 2.86
As4 0.5000 0.0000 0.7377  2 Se 2.72, 2 In 2.86
Se1 0.0000 0.0000 0.5000  4 As 2.72
Se2 0.5000 0.5000 0.5000  4 As 2.72

No. 4
This record from the Alexandria database describes a geometry-optimized InAs2Se structure. The functional is PBE.

## Properties
The value obtained for the magnetic moment is 0.000 μB per atom. The space-group type is C2/m, No. 12. The density of states at the Fermi level is 1.91 states/eV/f.u. The calculation puts the formation energy (no corrections) at -96 meV per atom.

Cell lengths 11.9585, 3.9216, 4.3578 Å; angles 90.00, 109.07, 90.00 degrees
Closest atoms and distances in Å follow each position.
Sites, in units of the cell vectors:
In1 0.0000 0.0000 0.0000  2 As 2.84, 4 Se 2.93
In2 0.5000 0.5000 0.0000  2 As 2.84, 4 Se 2.93
As1 0.2493 0.5000 0.8117  2 As 2.55, 1 In 2.84, 1 Se 2.84
As2 0.2507 0.0000 0.1883  2 As 2.55, 1 In 2.84, 1 Se 2.84
As3 0.7493 0.0000 0.8117  2 As 2.55, 1 In 2.84, 1 Se 2.84
As4 0.7507 0.5000 0.1883  2 As 2.55, 1 In 2.84, 1 Se 2.84
Se1 0.0000 0.5000 0.5000  2 As 2.84, 4 In 2.93
Se2 0.5000 0.0000 0.5000  2 As 2.84, 4 In 2.93